# 1
Computed, not measured: a relaxed structure of LaZrGeCl2 at the PBE-GGA level of DFT.

a b c (Å): 4.9615 4.9615 7.6021
angles (deg): 90.00 90.00 90.00
Closest atoms and distances in Å follow each position.
Space group P4/mmm (No. 123)
Asymmetric unit:
La1 0.0000 0.0000 0.0000 x1  4 Ge 3.51, 2 Zr 3.80
Zr1 0.0000 0.0000 0.5000 x1  4 Cl 2.48
Ge1 0.5000 0.5000 0.0000 x1  4 La 3.51
Cl1 0.0000 0.5000 0.5000 x2  2 Zr 2.48

Summary:
The calculation puts the total energy at -4.719 eV/atom.

# 2
Computed, not measured: a relaxed structure of LiGeCl2 at the PBE-GGA level of DFT.

a b c (Å): 6.8615 6.8615 6.8615
angles (deg): 90.00 90.00 90.00
Closest atoms and distances in Å follow each position.
Space group Fm-3m (No. 225)
Asymmetric unit:
Li1 0.0000 0.0000 0.0000 x4  8 Cl 2.97
Ge1 0.0000 0.0000 0.5000 x4  8 Cl 2.97
Cl1 0.2500 0.2500 0.2500 x8  4 Ge 2.97, 4 Li 2.97

Summary:
The calculation puts the total energy at -3.117 eV/atom. Its energy above the most stable polymorph in this dataset is 0.391 eV per atom.

# 3
Computed, not measured: a relaxed structure of LiGe2Cl at the PBE-GGA level of DFT.

a b c (Å): 6.8208 6.8208 6.8208
angles (deg): 90.00 90.00 90.00
Closest atoms and distances in Å follow each position.
Space group Fm-3m (No. 225)
Asymmetric unit:
Li1 0.0000 0.0000 0.0000 x4  8 Ge 2.95
Ge1 0.2500 0.2500 0.2500 x8  4 Cl 2.95, 4 Li 2.95
Cl1 0.0000 0.0000 0.5000 x4  8 Ge 2.95

Summary:
The calculation puts the total energy at -2.961 eV/atom. Its energy above the most stable polymorph in this dataset is 0.437 eV per atom.

# 4
Computed, not measured: a relaxed structure of LiGeCl2 at the PBE-GGA level of DFT.

a b c (Å): 6.8676 6.8676 7.8548
angles (deg): 90.00 90.00 90.00
Closest atoms and distances in Å follow each position.
Space group I-42d (No. 122)
Asymmetric unit:
Li1 0.0000 0.0000 0.0000 x4  4 Cl 2.43
Ge1 0.0000 0.0000 0.5000 x4  4 Cl 2.83
Cl1 0.2048 0.2500 0.1250 x8  2 Li 2.43

Summary:
The calculation puts the total energy at -3.290 eV/atom. Its energy above the most stable polymorph in this dataset is 0.218 eV per atom.

# 5
Computed, not measured: a relaxed structure of LiGe3Cl at the PBE-GGA level of DFT.

a b c (Å): 5.0327 5.0327 5.0327
angles (deg): 90.00 90.00 90.00
Closest atoms and distances in Å follow each position.
Space group Pm-3m (No. 221)
Asymmetric unit:
Li1 0.0000 0.0000 0.0000 x1  12 Ge 3.56
Ge1 0.0000 0.5000 0.5000 x3  2 Cl 2.52
Cl1 0.5000 0.5000 0.5000 x1  6 Ge 2.52

Summary:
The calculation puts the total energy at -2.942 eV/atom. Its energy above the most stable polymorph in this dataset is 0.156 eV per atom.

# 6
Computed, not measured: a relaxed structure of LiGe2Cl at the PBE-GGA level of DFT.

a b c (Å): 10.3638 10.3638 4.2545
angles (deg): 90.00 90.00 90.00
Closest atoms and distances in Å follow each position.
Space group I-42d (No. 122)
Asymmetric unit:
Li1 0.0000 0.0000 0.0000 x4  2 Cl 2.13
Ge1 0.1924 0.2500 0.1250 x8  2 Ge 2.44
Cl1 0.0000 0.0000 0.5000 x4  2 Li 2.13

Summary:
The calculation puts the total energy at -3.398 eV/atom. Its energy above the most stable polymorph in this dataset is 0.000 eV per atom.

# 7
Computed, not measured: a relaxed structure of LiGeCl2 at the PBE-GGA level of DFT.

a b c (Å): 3.4949 3.4949 23.8851
angles (deg): 90.00 90.00 120.00
Closest atoms and distances in Å follow each position.
Space group R-3m (No. 166, hexagonal axes)
Asymmetric unit:
Li1 0.0000 0.0000 0.0000 x3  6 Cl 2.49
Ge1 0.0000 0.0000 0.5000 x3  2 Cl 2.52
Cl1 0.0000 0.0000 0.3944 x6  3 Li 2.49, 1 Ge 2.52

Summary:
The calculation puts the total energy at -3.508 eV/atom. Its energy above the most stable polymorph in this dataset is 0.000 eV per atom.

# 8
Computed, not measured: a relaxed structure of Li2GeCl at the PBE-GGA level of DFT.

a b c (Å): 6.7668 6.7668 6.7668
angles (deg): 90.00 90.00 90.00
Closest atoms and distances in Å follow each position.
Space group Fm-3m (No. 225)
Asymmetric unit:
Li1 0.2500 0.2500 0.2500 x8  4 Ge 2.93, 4 Cl 2.93
Ge1 0.0000 0.0000 0.0000 x4  8 Li 2.93
Cl1 0.0000 0.0000 0.5000 x4  8 Li 2.93

Summary:
The calculation puts the total energy at -2.784 eV/atom. Its energy above the most stable polymorph in this dataset is 0.387 eV per atom.

# 9
Computed, not measured: a relaxed structure of Li2GeCl6 at the PBE-GGA level of DFT.

a b c (Å): 13.8897 14.2241 6.1335
angles (deg): 90.00 115.56 90.00
Closest atoms and distances in Å follow each position.
Space group C2/c (No. 15)
Asymmetric unit:
Li1 0.2343 0.0598 0.9997 x8  2 Cl 2.24-2.25
Ge1 0.0000 0.2598 0.7500 x4  4 Cl 2.15
Cl1 0.0933 0.1746 0.0582 x8  1 Ge 2.15
Cl2 0.0987 0.3458 0.6419 x8  1 Ge 2.15
Cl3 0.2344 0.0863 0.6401 x8  2 Li 2.24-2.25

Summary:
The calculation puts the total energy at -3.371 eV/atom. Its energy above the most stable polymorph in this dataset is 0.007 eV per atom.

# 10
Computed, not measured: a relaxed structure of LiGeCl6 at the PBE-GGA level of DFT.

a b c (Å): 6.3155 6.3156 6.6513
angles (deg): 118.26 90.08 119.97
Closest atoms and distances in Å follow each position.
Space group P-1 (No. 2)
Asymmetric unit:
Li1 0.0000 0.0000 0.0000 x1  6 Cl 2.67
Ge1 0.5000 0.0000 0.5000 x1  6 Cl 2.32
Cl1 0.1169 0.5428 0.2616 x2  1 Ge 2.32
Cl2 0.2810 0.1641 0.7378 x2  1 Ge 2.32
Cl3 0.4259 0.1446 0.2611 x2  1 Ge 2.32

Summary:
The calculation puts the total energy at -2.949 eV/atom.

# 11
Computed, not measured: a relaxed structure of Li2GeCl6 at the PBE-GGA level of DFT.

a b c (Å): 6.1376 6.2640 10.5862
angles (deg): 90.00 90.00 90.00
Closest atoms and distances in Å follow each position.
Space group Pnnm (No. 58)
Asymmetric unit:
Li1 0.0000 0.0000 0.1780 x4  6 Cl 2.51-2.68
Ge1 0.0000 0.5000 0.0000 x2  6 Cl 2.31-2.35
Cl1 0.2156 0.3382 0.1562 x8  1 Ge 2.35, 1 Li 2.51
Cl2 0.2182 0.8002 0.0000 x4  1 Ge 2.31

Summary:
The calculation puts the total energy at -3.377 eV/atom. Its energy above the most stable polymorph in this dataset is 0.000 eV per atom.

# 12
Computed, not measured: a relaxed structure of Li3GeCl at the PBE-GGA level of DFT.

a b c (Å): 5.0082 5.0082 5.0082
angles (deg): 90.00 90.00 90.00
Closest atoms and distances in Å follow each position.
Space group Pm-3m (No. 221)
Asymmetric unit:
Li1 0.0000 0.0000 0.5000 x3  2 Ge 2.50
Ge1 0.0000 0.0000 0.0000 x1  6 Li 2.50
Cl1 0.5000 0.5000 0.5000 x1  12 Li 3.54

Summary:
The calculation puts the total energy at -2.630 eV/atom. Its energy above the most stable polymorph in this dataset is 0.363 eV per atom.

no.,formation energy from raw total energies (kJ/mol of formula units),calculated volume (A^3/atom)
1,-175,37.428
2,-216,20.190
3,111,19.833
4,-283,23.154
5,280,25.493
6,-58,28.561
7,-367,21.054
8,-82,19.366
9,-1043,30.367
10,-577,24.043
11,-1049,22.611
12,-91,25.124